Entry from Alexandria via LeMat-Bulk: an optimized crystal structure of CaVGe3 (PBE).

Unit cell a=4.7745 b=4.7745 c=4.7745 alpha=90.00 beta=90.00 gamma=90.00
Last column: nearest neighbours and their distance in Å.
Space group Pm-3m (No. 221)
Unique sites:
Ca 0.0000 0.0000 0.0000 x1  12 Ge 3.38
V 0.5000 0.5000 0.5000 x1  6 Ge 2.39
Ge 0.0000 0.5000 0.5000 x3  2 V 2.39

## Properties
Calculated volume (Å³ per atom): 21.8
M_tot (Bohr magnetons per cell): 0.00
Formation energy (eV per formula unit): -0.95
Calculated total energy (eV/cell): -25.92
DOS at the Fermi energy (states/eV/f.u.): 1.550


Entry from Alexandria via LeMat-Bulk: an optimized crystal structure of CaVGe (PBE).

Unit cell a=3.5038 b=4.4769 c=9.8640 alpha=80.21 beta=89.68 gamma=66.98
Last column: nearest neighbours and their distance in Å.
Space group P-1 (No. 2)
Unique sites:
Ca 0.1796 0.1517 0.1716 x2  3 Ge 2.99-3.13, 2 V 3.31
V 0.3627 0.7728 0.5511 x2  5 Ge 2.54-2.64, 3 V 2.63
Ge 0.0902 0.3152 0.6395 x2  5 V 2.54-2.64

## Properties
Calculated volume (Å³ per atom): 23.3
M_tot (Bohr magnetons per cell): 0.00
Formation energy (eV per formula unit): -0.62
Calculated total energy (eV/cell): -32.71
DOS at the Fermi energy (states/eV/f.u.): 2.511


Entry from Alexandria via LeMat-Bulk: an optimized crystal structure of CaVGe (PBE).

Unit cell a=3.9585 b=5.6992 c=6.4582 alpha=99.72 beta=104.45 gamma=105.35
Last column: nearest neighbours and their distance in Å.
Space group P-1 (No. 2)
Unique sites:
Ca 0.2413 0.3478 0.1979 x2  5 Ge 3.03-3.27, 3 V 3.31-3.33
V 0.0944 0.8656 0.4243 x2  1 V 2.08
Ge 0.4875 0.1034 0.8255 x2  3 V 2.53-2.58, 1 Ge 2.71

## Properties
Calculated volume (Å³ per atom): 21.9
M_tot (Bohr magnetons per cell): 0.00
Formation energy (eV per formula unit): -0.45
Calculated total energy (eV/cell): -32.38
DOS at the Fermi energy (states/eV/f.u.): 1.375